Li2Mo2Cl2O5, relaxed, DFT GGA+U; E_tot = -5.80 eV per atom; magnetic moment = 1.926 μB/cell
1.0
3.893 0.000 0.000
0.000 3.893 0.000
-1.947 -1.947 11.873
Mo Cl O Li
2 2 5 2
direct
0.920 0.920 0.840
0.080 0.080 0.160
0.187 0.187 0.373
0.813 0.813 0.627
0.912 0.412 0.824
0.000 0.000 0.000
0.412 0.912 0.824
0.588 0.088 0.176
0.088 0.588 0.176
0.357 0.357 0.713
0.643 0.643 0.287